Entry 1:
La2NiAs3Pt4 | PBE | relaxed

The structure in POSCAR format:
```
La2NiAs3Pt4
1.0
4.410 0.000 0.000
0.000 4.410 0.000
0.000 0.000 10.013
La Ni As Pt
2 1 3 4
direct
0.500 0.000 0.254
0.000 0.500 0.746
0.500 0.500 0.500
0.000 0.000 0.500
0.500 0.000 0.866
0.000 0.500 0.134
0.500 0.500 0.000
0.000 0.000 0.000
0.500 0.000 0.619
0.000 0.500 0.381
```

Computed properties:
The value obtained for the density is 11.44 g cm⁻³. Its symmetry is P-4m2, No. 115. The formation enthalpy at 0 K comes out at -0.8595 eV per atom. The value obtained for the volume is 194.8 Å³ per cell.

Entry 2:
NbReSn2Mo | PBE | relaxed

The structure in POSCAR format:
```
NbReSn2Mo
1.0
5.086 0.000 0.000
0.000 4.979 0.000
0.000 0.000 5.086
Re Mo Sn Nb
1 1 2 1
direct
0.000 0.000 0.000
0.500 0.500 0.500
0.000 0.000 0.500
0.500 0.000 0.000
0.000 0.500 0.000
```

Computed properties:
The value obtained for the density is 7.90 g cm⁻³. Its symmetry is P4/mmm, No. 123. The formation enthalpy at 0 K comes out at 1.3734 eV per atom. The value obtained for the volume is 128.8 Å³ per cell.

Entry 3:
Th2Ni3Ge4Rh | PBE | relaxed

The structure in POSCAR format:
```
Th2Ni3Ge4Rh
1.0
-3.216 2.678 -0.420
-2.564 -2.792 1.822
2.047 3.831 8.751
Th Ni Ge Rh
2 3 4 1
direct
0.500 0.000 0.250
0.000 0.500 0.750
0.000 0.000 0.500
0.500 0.000 0.880
0.000 0.500 0.120
0.500 0.500 0.000
0.000 0.000 0.000
0.500 0.000 0.637
0.000 0.500 0.363
0.500 0.500 0.500
```

Computed properties:
The value obtained for the density is 9.93 g cm⁻³. Its symmetry is P-4m2, No. 115. The formation enthalpy at 0 K comes out at -0.7659 eV per atom. The value obtained for the volume is 172.8 Å³ per cell.

Entry 4:
Cs3MnAg2I6 | PBE | relaxed

The structure in POSCAR format:
```
Cs3MnAg2I6
1.0
8.823 0.000 0.000
-4.412 7.641 0.000
0.000 0.000 9.595
Cs Mn Ag I
3 1 2 6
direct
0.333 0.667 0.634
0.667 0.333 0.366
0.000 0.000 0.000
0.000 0.000 0.500
0.667 0.333 0.765
0.333 0.667 0.235
0.689 0.845 0.315
0.155 0.311 0.315
0.155 0.845 0.315
0.845 0.689 0.685
0.311 0.155 0.685
0.845 0.155 0.685
```

Computed properties:
The value obtained for the density is 3.67 g cm⁻³. For the uncorrected formation energy, the calculation gives -0.727 eV per atom. Its symmetry is P-3m1, No. 164. The value obtained for the volume is 646.9 Å³ per cell.

> What is the density in the third record?

9.93 g cm⁻³

> Which of these has the lowest density?

Cs3MnAg2I6